VASP calculation (PBE) on an optimized crystal structure of AlCd2Cu.

Structure (POSCAR):
```
AlCd2Cu
1.0
4.600 -1.723 0.000
4.600 1.723 0.000
-0.991 0.000 4.667
Al Cd Cu
1 2 1
direct
0.000 0.000 0.000
0.244 0.244 0.741
0.756 0.756 0.259
0.500 0.500 0.500
```

Uncorrected energy   -2.28 eV per atom
Space group   C2/m (12)
Crystal system   monoclinic
Density of states at the Fermi level   0.92 states/eV/cell
Calculated volume   74.0 Å³ per cell
Total moment   0.000 μB per atom